# 1
This record from the Alexandria database describes a relaxed structure of Ga5Rh6Au. The functional is GGA-PBE.

Values from the calculation:
Its calculated total energy is -5.7738 eV per atom. As for the crystal system: orthorhombic.

Unit cell a=4.318 b=12.977 c=6.170 alpha=90.00 beta=90.00 gamma=90.00
Space group Cmmm (No. 65)
One atom of each set of equivalent atoms:
Ga  0.000  0.000  0.000 [2 per cell]
Ga  0.000  0.333  0.000 [4 per cell]
Ga  0.000  0.339  0.500 [4 per cell]
Rh  0.000  0.173  0.246 [8 per cell]
Rh  0.000  0.500  0.232 [4 per cell]
Au  0.000  0.000  0.500 [2 per cell]


# 2
This record from the Alexandria database describes a relaxed structure of KHg2SCl3O3. The functional is GGA-PBE.

Values from the calculation:
Its uncorrected formation energy is -10.8 eV/f.u. As for the crystal system: orthorhombic.

Unit cell a=6.210 b=22.354 c=7.116 alpha=90.00 beta=90.00 gamma=90.00
Space group Cmc2_1 (No. 36)
One atom of each set of equivalent atoms:
K  0.000  0.236  0.000 [4 per cell]
Hg  0.000  0.061  0.483 [4 per cell]
Hg  0.000  0.399  0.339 [4 per cell]
S  0.000  0.169  0.544 [4 per cell]
Cl  0.000  0.046  0.929 [4 per cell]
Cl  0.000  0.345  0.616 [4 per cell]
Cl  0.000  0.457  0.065 [4 per cell]
O  0.000  0.200  0.362 [4 per cell]
O  0.197  0.181  0.656 [8 per cell]


# 3
This record from the Alexandria database describes a relaxed structure of La2TbI. The functional is GGA-PBE.

Values from the calculation:
Its uncorrected formation energy is -1.7 eV/f.u. As for the crystal system: trigonal. The value obtained for the offset from the most stable computed form is 0.000 eV/atom.

Unit cell a=3.8711 b=3.8711 c=32.7961 alpha=90.00 beta=90.00 gamma=120.00
Space group R3m (No. 160, hexagonal axes)
One atom of each set of equivalent atoms:
La  0.0000  0.0000  0.0000 [3 per cell]
La  0.0000  0.0000  0.1749 [3 per cell]
Tb  0.0000  0.0000  0.7542 [3 per cell]
I  0.0000  0.0000  0.5879 [3 per cell]


# 4
This record from the Alexandria database describes a relaxed structure of Li2IrO4. The functional is GGA-PBE.

Values from the calculation:
Its uncorrected formation energy is -8.7 eV/f.u. As for the crystal system: monoclinic. The value obtained for the offset from the most stable computed form is 0.000 eV/atom.

Unit cell a=10.940 b=3.140 c=4.966 alpha=90.00 beta=108.05 gamma=90.00
Space group C2/m (No. 12)
One atom of each set of equivalent atoms:
Li  0.165  0.000  0.078 [4 per cell]
Ir  0.000  0.500  0.500 [2 per cell]
O  0.071  0.000  0.348 [4 per cell]
O  0.143  0.500  0.824 [4 per cell]


# 5
This record from the Alexandria database describes a relaxed structure of ZnCoW2. The functional is GGA-PBE.

Values from the calculation:
Its calculated total energy is -8.3247 eV per atom. As for the crystal system: tetragonal.

Unit cell a=3.177 b=3.177 c=5.675 alpha=90.00 beta=90.00 gamma=90.00
Space group P4mm (No. 99)
One atom of each set of equivalent atoms:
Zn  0.000  0.000  0.000 [1 per cell]
Co  0.500  0.500  0.218 [1 per cell]
W  0.000  0.000  0.476 [1 per cell]
W  0.500  0.500  0.732 [1 per cell]


# 6
This record from the Alexandria database describes a relaxed structure of Sm8HoGa6. The functional is GGA-PBE.

Values from the calculation:
Its calculated total energy is -4.3932 eV per atom. As for the crystal system: trigonal.

Unit cell a=8.7656 b=8.7656 c=18.7938 alpha=90.00 beta=90.00 gamma=120.00
Space group R-3 (No. 148, hexagonal axes)
One atom of each set of equivalent atoms:
Sm  0.0000  0.0000  0.1661 [6 per cell]
Sm  0.0001  0.3329  0.3873 [18 per cell]
Ho  0.0000  0.0000  0.5000 [3 per cell]
Ga  0.9997  0.3290  0.5564 [18 per cell]


# 7
This record from the Alexandria database describes a relaxed structure of EuTe2Pb. The functional is GGA-PBE.

Values from the calculation:
Its uncorrected formation energy is -4.2 eV/f.u. As for the crystal system: tetragonal. The value obtained for the offset from the most stable computed form is 0.000 eV/atom.

Unit cell a=4.646 b=4.646 c=6.572 alpha=90.00 beta=90.00 gamma=90.00
Space group P4/mmm (No. 123)
One atom of each set of equivalent atoms:
Eu  0.000  0.000  0.000 [1 per cell]
Te  0.000  0.000  0.500 [1 per cell]
Te  0.500  0.500  0.000 [1 per cell]
Pb  0.500  0.500  0.500 [1 per cell]


# 8
This record from the Alexandria database describes a relaxed structure of CaNd6Dy. The functional is GGA-PBE.

Values from the calculation:
As for the crystal system: tetragonal. The value obtained for the offset from the most stable computed form is 0.000 eV/atom.

Unit cell a=5.201 b=5.201 c=10.416 alpha=90.00 beta=90.00 gamma=90.00
Space group P4/mmm (No. 123)
One atom of each set of equivalent atoms:
Ca  0.000  0.000  0.000 [1 per cell]
Nd  0.000  0.500  0.257 [4 per cell]
Nd  0.500  0.500  0.000 [1 per cell]
Nd  0.500  0.500  0.500 [1 per cell]
Dy  0.000  0.000  0.500 [1 per cell]


# 9
This record from the Alexandria database describes a relaxed structure of BeMoPt. The functional is GGA-PBE.

Values from the calculation:
As for the crystal system: monoclinic. The value obtained for the offset from the most stable computed form is 0.175 eV/atom.

Unit cell a=8.712 b=3.318 c=5.764 alpha=90.00 beta=99.45 gamma=90.00
Space group Cm (No. 8)
One atom of each set of equivalent atoms:
Be  0.000  0.000  0.000 [2 per cell]
Be  0.227  0.500  0.358 [2 per cell]
Mo  0.039  0.000  0.548 [2 per cell]
Mo  0.356  0.000  0.702 [2 per cell]
Pt  0.174  0.500  0.939 [2 per cell]
Pt  0.398  0.000  0.208 [2 per cell]


# 10
This record from the Alexandria database describes a relaxed structure of SrLiPd2. The functional is GGA-PBE.

Values from the calculation:
As for the crystal system: cubic. The value obtained for the offset from the most stable computed form is 0.223 eV/atom.

Unit cell a=6.904 b=6.904 c=6.904 alpha=90.00 beta=90.00 gamma=90.00
Space group Fm-3m (No. 225)
One atom of each set of equivalent atoms:
Sr  0.000  0.000  0.000 [4 per cell]
Li  0.000  0.000  0.500 [4 per cell]
Pd  0.250  0.250  0.250 [8 per cell]


# 11
This record from the Alexandria database describes a relaxed structure of MgTl2SeCl6. The functional is GGA-PBE.

Values from the calculation:
Its uncorrected formation energy is -10.1 eV/f.u. As for the crystal system: triclinic.

Unit cell a=5.993 b=6.982 c=7.640 alpha=63.95 beta=78.99 gamma=89.08
Space group P-1 (No. 2)
One atom of each set of equivalent atoms:
Mg  0.000  0.000  0.000 [1 per cell]
Tl  0.229  0.731  0.567 [2 per cell]
Se  0.500  0.500  0.000 [1 per cell]
Cl  0.214  0.660  0.162 [2 per cell]
Cl  0.236  0.178  0.148 [2 per cell]
Cl  0.240  0.143  0.669 [2 per cell]


# 12
This record from the Alexandria database describes a relaxed structure of Ac3Ge2Pt4. The functional is GGA-PBE.

Values from the calculation:
Its calculated total energy is -6.1346 eV per atom. As for the crystal system: monoclinic.

Unit cell a=11.683 b=4.411 c=8.913 alpha=90.00 beta=103.79 gamma=90.00
Space group C2/m (No. 12)
One atom of each set of equivalent atoms:
Ac  0.000  0.000  0.000 [2 per cell]
Ac  0.166  0.500  0.672 [4 per cell]
Ge  0.110  0.500  0.284 [4 per cell]
Pt  0.058  0.000  0.383 [4 per cell]
Pt  0.216  0.500  0.070 [4 per cell]